# 1
Here is crystalline P2RhCl at its relaxed geometry from the Alexandria database. Energies are from PBE-GGA.

Unit cell a=4.6395 b=4.6395 c=2.7949 alpha=90.00 beta=90.00 gamma=90.00
Fractional positions:
Cl1 0.0000 0.5000 0.5000
P1 0.0000 0.0000 0.0000
Rh1 0.5000 0.0000 0.5000
P2 0.5000 0.5000 0.0000

Output
- E_form (uncorrected) (eV per formula unit) = 2.4
- space-group type = No. 123
- spin magnetization (Bohr magnetons per cell) = 0.000
- DOS(E_F) (states/eV/f.u.) = 3.19
- energy above the lowest structure with this stoichiometry (meV per atom) = 757
- total DFT energy (no corrections) (eV per atom) = -4.416
- calculated volume (Å³/cell) = 60.16

# 2
Here is crystalline Ti2Te6Rh at its relaxed geometry from the Alexandria database. Energies are from PBE-GGA.

Unit cell a=6.9657 b=6.9471 c=9.1266 alpha=90.00 beta=86.06 gamma=90.00
Fractional positions:
Te1 0.8323 0.6634 0.5754
Ti1 0.4777 0.1504 0.2468
Ti2 0.9777 0.3496 0.7468
Te2 0.6677 0.1634 0.9246
Te3 0.1677 0.3366 0.4246
Te4 0.6563 0.4986 0.2599
Te5 0.6554 0.1674 0.5731
Te6 0.8437 0.9986 0.2401
Te7 0.1554 0.3326 0.0731
Ti3 0.0223 0.6504 0.2532
Rh1 0.0000 0.0000 0.5000
Rh2 0.5000 0.5000 0.0000
Te8 0.1563 0.0014 0.7599
Te9 0.3437 0.5014 0.7401
Ti4 0.5223 0.8496 0.7532
Te10 0.8446 0.6674 0.9269
Te11 0.3323 0.8366 0.0754
Te12 0.3446 0.8326 0.4269

Output
- E_form (uncorrected) (eV per formula unit) = -4.1
- space-group type = No. 14
- spin magnetization (Bohr magnetons per cell) = 0.000
- DOS(E_F) (states/eV/f.u.) = 4.50
- total DFT energy (no corrections) (eV per atom) = -5.119
- calculated volume (Å³/cell) = 440.60

# 3
Here is crystalline Ba3Rh5 at its relaxed geometry from the Alexandria database. Energies are from PBE-GGA.

Unit cell a=6.4199 b=6.4199 c=4.4095 alpha=90.00 beta=90.00 gamma=98.04
Fractional positions:
Rh1 0.5000 0.0000 0.0000
Rh2 0.0000 0.0000 0.0000
Ba1 0.5000 0.5000 0.0000
Rh3 0.0000 0.5000 0.0000
Ba2 0.7668 0.2332 0.5000
Rh4 0.7769 0.7769 0.5000
Rh5 0.2231 0.2231 0.5000
Ba3 0.2332 0.7668 0.5000

Output
- space-group type = No. 65
- spin magnetization (Bohr magnetons per cell) = 0.000
- energy relative to the elements (eV per atom) = 0.370
- DOS(E_F) (states/eV/f.u.) = 12.67
- energy above the lowest structure with this stoichiometry (meV per atom) = 220
- total DFT energy (no corrections) (eV per atom) = -4.946
- calculated volume (Å³/cell) = 179.95

# 4
Here is crystalline YHo5Pt6 at its relaxed geometry from the Alexandria database. Energies are from PBE-GGA.

Unit cell a=4.9313 b=8.5324 c=8.5324 alpha=120.04 beta=106.83 gamma=106.83
Fractional positions:
Pt1 0.7483 0.5806 0.9164
Pt2 0.2517 0.4194 0.0836
Pt3 0.7533 0.2535 0.2535
Ho1 0.0000 0.6668 0.3332
Pt4 0.2467 0.7465 0.7465
Pt5 0.7483 0.9164 0.5806
Ho2 0.0000 0.3332 0.6668
Y1 0.0000 0.0000 0.0000
Ho3 0.5000 0.1663 0.8337
Ho4 0.5000 0.8337 0.1663
Ho5 0.5000 0.5000 0.5000
Pt6 0.2517 0.0836 0.4194

Output
- space-group type = No. 12
- spin magnetization (Bohr magnetons per cell) = 0.000
- energy relative to the elements (eV per atom) = -1.240
- DOS(E_F) (states/eV/f.u.) = 6.41
- total DFT energy (no corrections) (eV per atom) = -6.706
- calculated volume (Å³/cell) = 253.31

# 5
Here is crystalline KTePdBr6 at its relaxed geometry from the Alexandria database. Energies are from PBE-GGA.

Unit cell a=7.2964 b=8.7671 c=6.9458 alpha=101.62 beta=96.93 gamma=53.03
Fractional positions:
Br1 0.6350 0.3434 0.7535
Pd1 0.6599 0.6701 0.4999
Br2 0.9612 0.6512 0.7297
Te1 0.3508 0.3246 0.4999
Br3 0.9615 0.3875 0.2702
Br4 0.6356 0.0210 0.2467
K1 0.0617 0.9691 0.9999
Br5 0.3669 0.9800 0.6915
Br6 0.3672 0.6532 0.3086

Output
- E_form (uncorrected) (eV per formula unit) = -5.2
- space-group type = No. 5
- spin magnetization (Bohr magnetons per cell) = 0.816
- DOS(E_F) (states/eV/f.u.) = 3.02
- total DFT energy (no corrections) (eV per atom) = -2.740
- calculated volume (Å³/cell) = 347.69

# 6
Here is crystalline HRu2I at its relaxed geometry from the Alexandria database. Energies are from PBE-GGA.

Unit cell a=4.2842 b=4.2842 c=4.2842 alpha=60.00 beta=60.00 gamma=60.00
Fractional positions:
Ru1 0.2500 0.2500 0.2500
H1 0.0000 0.0000 0.0000
I1 0.5000 0.5000 0.5000
Ru2 0.7500 0.7500 0.7500

Output
- space-group type = No. 225
- spin magnetization (Bohr magnetons per cell) = 0.000
- DOS(E_F) (states/eV/f.u.) = 1.50
- energy above the lowest structure with this stoichiometry (meV per atom) = 417
- total DFT energy (no corrections) (eV per atom) = -4.884
- calculated volume (Å³/cell) = 55.60

# 7
Here is crystalline InRe2Os at its relaxed geometry from the Alexandria database. Energies are from PBE-GGA.

Unit cell a=4.4870 b=4.4870 c=4.4870 alpha=60.00 beta=60.00 gamma=60.00
Fractional positions:
Os1 0.2500 0.2500 0.2500
Re1 0.0000 0.0000 0.0000
Re2 0.7500 0.7500 0.7500
In1 0.5000 0.5000 0.5000

Output
- space-group type = No. 216
- spin magnetization (Bohr magnetons per cell) = 0.001
- energy relative to the elements (eV per atom) = 0.589
- DOS(E_F) (states/eV/f.u.) = 2.83
- total DFT energy (no corrections) (eV per atom) = -9.127
- calculated volume (Å³/cell) = 63.88

# 8
Here is crystalline Tc4HW at its relaxed geometry from the Alexandria database. Energies are from PBE-GGA.

Unit cell a=4.8386 b=6.6123 c=5.3103 alpha=104.03 beta=90.27 gamma=111.11
Fractional positions:
Tc1 0.8746 0.5939 0.8525
Tc2 0.1254 0.4061 0.1475
W1 0.7282 0.6049 0.3424
Tc3 0.9122 0.9996 0.7424
H1 0.1977 0.9017 0.9007
Tc4 0.4798 0.7931 0.0542
Tc5 0.6773 0.1960 0.4597
H2 0.8023 0.0983 0.0993
W2 0.2718 0.3951 0.6576
Tc6 0.5202 0.2069 0.9458
Tc7 0.0878 0.0004 0.2576
Tc8 0.3227 0.8040 0.5403

Output
- space-group type = No. 2
- spin magnetization (Bohr magnetons per cell) = 0.000
- DOS(E_F) (states/eV/f.u.) = 4.55
- total DFT energy (no corrections) (eV per atom) = -9.608
- calculated volume (Å³/cell) = 152.97

# 9
Here is crystalline SrCdHg2H at its relaxed geometry from the Alexandria database. Energies are from PBE-GGA.

Unit cell a=5.0717 b=5.0717 c=4.6466 alpha=90.00 beta=90.00 gamma=90.00
Fractional positions:
Hg1 0.0000 0.5000 0.0000
Hg2 0.5000 0.0000 0.0000
Cd1 0.5000 0.5000 0.5000
Sr1 0.0000 0.0000 0.5000
H1 0.0000 0.0000 0.0000

Output
- space-group type = No. 123
- spin magnetization (Bohr magnetons per cell) = 0.000
- DOS(E_F) (states/eV/f.u.) = 1.73
- energy above the lowest structure with this stoichiometry (meV per atom) = 0
- total DFT energy (no corrections) (eV per atom) = -1.472
- calculated volume (Å³/cell) = 119.52

# 10
Here is crystalline TbPmCl2 at its relaxed geometry from the Alexandria database. Energies are from PBE-GGA.

Unit cell a=3.5696 b=3.5696 c=9.8664 alpha=79.58 beta=79.58 gamma=60.00
Fractional positions:
Tb1 0.5000 0.5000 0.5000
Pm1 0.0000 0.0000 0.0000
Cl1 0.9014 0.9014 0.2959
Cl2 0.0986 0.0986 0.7041

Output
- E_form (uncorrected) (eV per formula unit) = -5.1
- space-group type = No. 166
- spin magnetization (Bohr magnetons per cell) = 0.369
- DOS(E_F) (states/eV/f.u.) = 3.40
- total DFT energy (no corrections) (eV per atom) = -4.543
- calculated volume (Å³/cell) = 106.47

# 11
Here is crystalline DyEr3Pd3 at its relaxed geometry from the Alexandria database. Energies are from PBE-GGA.

Unit cell a=5.9644 b=5.9935 c=5.9935 alpha=109.57 beta=109.37 gamma=109.37
Fractional positions:
Pd1 0.4955 0.4981 0.0000
Pd2 0.4955 0.0000 0.4981
Pd3 0.9975 0.5019 0.5019
Er1 0.9965 0.5672 0.0000
Er2 0.4294 0.4328 0.4328
Er3 0.9965 0.0000 0.5672
Dy1 0.5640 0.0000 0.0000

Output
- space-group type = No. 160
- spin magnetization (Bohr magnetons per cell) = 0.000
- energy relative to the elements (eV per atom) = -0.735
- DOS(E_F) (states/eV/f.u.) = 6.44
- total DFT energy (no corrections) (eV per atom) = -5.574
- calculated volume (Å³/cell) = 165.13

# 12
Here is crystalline PmZn2Cu3 at its relaxed geometry from the Alexandria database. Energies are from PBE-GGA.

Unit cell a=5.2943 b=5.2943 c=8.0968 alpha=90.00 beta=90.00 gamma=120.00
Fractional positions:
Zn1 0.6667 0.3333 0.5000
Zn2 0.3333 0.6667 0.5000
Zn3 0.3333 0.6667 0.0000
Cu1 0.5002 0.5002 0.7500
Cu2 0.5002 0.0000 0.2500
Cu3 0.0000 0.5002 0.2500
Zn4 0.6667 0.3333 0.0000
Cu4 0.4998 0.4998 0.2500
Pm1 0.0000 0.0000 0.5000
Cu5 0.0000 0.4998 0.7500
Pm2 0.0000 0.0000 0.0000
Cu6 0.4998 0.0000 0.7500

Output
- space-group type = No. 191
- spin magnetization (Bohr magnetons per cell) = 0.000
- energy relative to the elements (eV per atom) = -0.234
- DOS(E_F) (states/eV/f.u.) = 3.21
- energy above the lowest structure with this stoichiometry (meV per atom) = 0
- total DFT energy (no corrections) (eV per atom) = -3.498
- calculated volume (Å³/cell) = 196.55